VASP calculation (GGA-PBE) on an optimized crystal structure of CaReW2.

Results
* space group: C2/m
* D(E_F): 0.819 states/eV/atom
* DFT total energy: -9.4425 eV/atom
* energy of formation: 0.6465 eV per atom

Structure (CIF):
```
data_CaReW2
_chemical_formula_sum 'Ca1 Re1 W2'
_cell_length_a 5.5648
_cell_length_b 5.5648
_cell_length_c 4.8042
_cell_angle_alpha 115.49
_cell_angle_beta 115.49
_cell_angle_gamma 32.45
_space_group_name_H-M_alt 'P 1'
_space_group_IT_number 1
loop_
_space_group_symop_operation_xyz
'x,y,z'
loop_
_atom_site_label
_atom_site_type_symbol
_atom_site_fract_x
_atom_site_fract_y
_atom_site_fract_z
Ca1 Ca 0.0000 0.0000 0.0000
Re1 Re 0.5000 0.5000 0.5000
W1 W 0.2275 0.2275 0.7269
W2 W 0.7725 0.7725 0.2731
```